! GGA+U NaCrO2, optimized geometry; values from VASP
! - distance to the lowest polymorph of the same formula (meV/atom) = 42
! - V (Å³/atom) = 10.937
! - energy (eV/cell) = -26.27
! - crystal system = trigonal
! - total moment (μB per formula unit) = 3.00
&SYSTEM
  ibrav = 0, nat = 4, ntyp = 3
/
ATOMIC_SPECIES
Na 22.99 Na.upf
Cr 52.00 Cr.upf
O 16.00 O.upf
CELL_PARAMETERS angstrom
1.514 0.874 5.513
-1.514 0.874 5.513
0.000 -1.748 5.513
ATOMIC_POSITIONS angstrom
Na 0.000 0.000 0.000
Cr 0.000 0.000 13.720
O 0.000 0.000 3.766
O 0.000 0.000 7.132